[1]
Material: AcAlCd2Au4
Method: DFT, PBE
State: optimized geometry

Unit cell a=4.6859 b=4.6859 c=27.8745 alpha=90.00 beta=90.00 gamma=120.00
Space group R-3m (No. 166, hexagonal axes)
Unique sites:
1 Ac 0.0000 0.0000 0.0000 [3 per cell]
2 Al 0.0000 0.0000 0.5000 [3 per cell]
3 Cd 0.0000 0.0000 0.2421 [6 per cell]
4 Au 0.0000 0.0000 0.1371 [6 per cell]
5 Au 0.0000 0.0000 0.3993 [6 per cell]

Final energy (Ry/atom): -0.2413
Calculated volume (Å³/cell): 530.0
Crystal system: trigonal

[2]
Material: HoInCuHg
Method: DFT, PBE
State: optimized geometry

Unit cell a=6.975 b=6.975 c=6.975 alpha=90.00 beta=90.00 gamma=90.00
Space group F-43m (No. 216)
Unique sites:
1 Ho 0.000 0.000 0.000 [4 per cell]
2 In 0.000 0.000 0.500 [4 per cell]
3 Cu 0.250 0.250 0.250 [4 per cell]
4 Hg 0.250 0.250 0.750 [4 per cell]

Final energy (Ry/atom): -0.2346
Calculated volume (Å³/cell): 339.3
Crystal system: cubic

[3]
Material: RbVP2S
Method: DFT, PBE
State: optimized geometry

Unit cell a=4.664 b=4.664 c=4.856 alpha=90.00 beta=90.00 gamma=90.00
Space group P4/mmm (No. 123)
Unique sites:
1 Rb 0.000 0.000 0.000 [1 per cell]
2 V 0.500 0.500 0.500 [1 per cell]
3 P 0.000 0.500 0.500 [2 per cell]
4 S 0.500 0.500 0.000 [1 per cell]

Energy above the lowest structure with this stoichiometry (kJ/mol of atoms): 0.00
Formation energy without anion corrections (eV per atom): -0.17
Calculated volume (Å³/cell): 105.6
Crystal system: tetragonal

[4]
Material: Ac2Mg4GaHg3
Method: DFT, PBE
State: optimized geometry

Unit cell a=4.856 b=4.856 c=11.166 alpha=90.00 beta=90.00 gamma=90.00
Space group P-4m2 (No. 115)
Unique sites:
1 Ac 0.000 0.500 0.235 [2 per cell]
2 Mg 0.000 0.000 0.500 [1 per cell]
3 Mg 0.000 0.500 0.877 [2 per cell]
4 Mg 0.500 0.500 0.500 [1 per cell]
5 Ga 0.500 0.500 0.000 [1 per cell]
6 Hg 0.000 0.000 0.000 [1 per cell]
7 Hg 0.000 0.500 0.634 [2 per cell]

Final energy (Ry/atom): -0.1615
Calculated volume (Å³/cell): 263.3
Crystal system: tetragonal

- Among the records above, which one has the highest calculated volume?
  AcAlCd2Au4